# 1
DFT (GGA-PBE) results for HfMg14Fe after structural relaxation.

a = 6.3371 Å, b = 6.3371 Å, c = 10.1272 Å
α = 90.00°, β = 90.00°, γ = 122.14°
Each line ends with the local moment (μB).
Element x y z (fractional)
Mg 0.3351 0.1711 0.0000  0.00
Mg 0.1646 0.3316 0.2600  -0.01
Mg 0.8315 0.6834 0.5000  -0.01
Mg 0.6788 0.3212 0.7281  -0.01
Mg 0.3166 0.1685 0.5000  -0.01
Mg 0.3337 0.6663 0.0000  -0.01
Hf 0.3236 0.6764 0.5000  -0.25
Mg 0.6684 0.8354 0.7400  -0.01
Mg 0.1646 0.3316 0.7400  -0.01
Mg 0.1706 0.8294 0.2477  0.00
Mg 0.8289 0.6649 0.0000  0.00
Mg 0.6788 0.3212 0.2719  -0.01
Mg 0.1706 0.8294 0.7523  0.00
Mg 0.6684 0.8354 0.2600  -0.01
Mg 0.8316 0.1684 0.0000  0.00
Fe 0.8342 0.1658 0.5000  2.54

Properties
- spin magnetization (μB per cell) = 1.857
- calculated formation energy (eV/atom) = 0.10
- theoretical density (Mg/m³) = 2.8
- relative energy among the computed polymorphs (eV/atom) = 0.000
- space-group type = Amm2


# 2
DFT (GGA-PBE) results for SmS6I2 after structural relaxation.

a = 4.5004 Å, b = 8.7913 Å, c = 9.1594 Å
α = 116.54°, β = 93.17°, γ = 93.35°
Each line ends with the local moment (μB).
Element x y z (fractional)
S 0.9108 0.2907 0.5358  0.16
S 0.1303 0.2993 0.3009  0.07
S 0.8697 0.7007 0.6991  0.07
I 0.4943 0.8597 0.1417  0.01
S 0.9191 0.4920 0.2763  0.00
I 0.5057 0.1403 0.8583  0.01
Sm 0.0000 0.0000 0.0000  0.03
S 0.0809 0.5080 0.7237  0.00
S 0.0892 0.7093 0.4642  0.16

Properties
- spin magnetization (μB per cell) = 0.874
- energy relative to the elements, uncorrected (kJ per mole of atoms) = -39.69
- theoretical density (Mg/m³) = 3.1
- space-group type = P-1


# 3
DFT (GGA-PBE) results for Ce2NdSi after structural relaxation.

a = 4.8495 Å, b = 4.5452 Å, c = 4.5452 Å
α = 90.00°, β = 90.00°, γ = 90.00°
Each line ends with the local moment (μB).
Element x y z (fractional)
Si 0.5000 0.0000 0.0000  -0.01
Nd 0.5000 0.5000 0.5000  0.04
Ce 0.0000 0.0000 0.5000  0.49
Ce 0.0000 0.5000 0.0000  0.49

Properties
- spin magnetization (μB per cell) = 1.258
- energy relative to the elements, uncorrected (kJ per mole of atoms) = -26.72
- theoretical density (Mg/m³) = 7.5
- relative energy among the computed polymorphs (eV/atom) = 0.052
- space-group type = P4/mmm


# 4
DFT (GGA-PBE) results for Tc2PtW after structural relaxation.

a = 2.7620 Å, b = 2.7620 Å, c = 7.9614 Å
α = 90.00°, β = 90.00°, γ = 90.00°
Element x y z (fractional)
Pt 0.5000 0.5000 0.7501
Tc 0.5000 0.5000 0.2409
Tc 0.0000 0.0000 0.0132
W 0.0000 0.0000 0.4958

Properties
- spin magnetization (μB per cell) = 0.000
- calculated formation energy (eV/atom) = -0.07
- theoretical density (Mg/m³) = 15.7
- relative energy among the computed polymorphs (eV/atom) = 0.091
- space-group type = P4mm


# 5
DFT (GGA-PBE) results for K2Pm2I7 after structural relaxation.

a = 8.0594 Å, b = 8.3356 Å, c = 8.3356 Å
α = 70.04°, β = 92.26°, γ = 92.26°
Each line ends with the local moment (μB).
Element x y z (fractional)
Pm 0.9553 0.7640 0.7640  0.24
I 0.0000 0.0000 0.0000  0.00
I 0.7815 0.5621 0.5621  0.00
I 0.2441 0.4999 0.9291  0.00
I 0.2441 0.9291 0.4999  0.00
I 0.7559 0.5001 0.0709  0.00
I 0.7559 0.0709 0.5001  0.00
Pm 0.0447 0.2360 0.2360  0.24
K 0.5000 0.2481 0.7519  0.00
I 0.2185 0.4379 0.4379  0.00
K 0.5000 0.7519 0.2481  0.00

Properties
- spin magnetization (μB per cell) = 0.964
- energy relative to the elements, uncorrected (kJ per mole of atoms) = -123.42
- theoretical density (Mg/m³) = 4.0
- relative energy among the computed polymorphs (eV/atom) = 0.034
- space-group type = C2/m


# 6
DFT (GGA-PBE) results for Cd4Au5 after structural relaxation.

a = 8.8928 Å, b = 8.8928 Å, c = 6.6619 Å
α = 48.13°, β = 48.13°, γ = 90.00°
Element x y z (fractional)
Au 0.3328 0.3328 0.0000
Cd 0.0000 0.6756 0.0000
Au 0.6672 0.6672 0.0000
Au 0.6672 0.3328 0.0000
Au 0.0000 0.0000 0.0000
Cd 0.0000 0.3244 0.0000
Au 0.3328 0.6672 0.0000
Cd 0.6756 0.0000 0.0000
Cd 0.3244 0.0000 0.0000

Properties
- spin magnetization (μB per cell) = 0.000
- calculated formation energy (eV/atom) = -0.11
- theoretical density (Mg/m³) = 13.7
- relative energy among the computed polymorphs (eV/atom) = 0.044
- space-group type = I4/mmm


# 7
DFT (GGA-PBE) results for Ac3GaGe6Pd2 after structural relaxation.

a = 6.2384 Å, b = 6.2384 Å, c = 8.7642 Å
α = 90.00°, β = 90.00°, γ = 120.00°
Element x y z (fractional)
Ge 0.1939 0.3879 0.2765
Ac 0.6667 0.3333 0.3739
Pd 0.3333 0.6667 0.0304
Ge 0.8061 0.6121 0.7235
Pd 0.6667 0.3333 0.9696
Ac 0.0000 0.0000 0.0000
Ge 0.3879 0.1939 0.7235
Ge 0.1939 0.8061 0.2765
Ga 0.0000 0.0000 0.5000
Ge 0.6121 0.8061 0.2765
Ge 0.8061 0.1939 0.7235
Ac 0.3333 0.6667 0.6261

Properties
- spin magnetization (μB per cell) = 0.000
- calculated formation energy (eV/atom) = -0.39
- theoretical density (Mg/m³) = 7.9
- space-group type = P-3m1


# 8
DFT (GGA-PBE) results for Tl2PtCl after structural relaxation.

a = 4.1599 Å, b = 4.1781 Å, c = 5.8082 Å
α = 90.00°, β = 90.00°, γ = 90.00°
Element x y z (fractional)
Cl 0.0000 0.0000 0.3750
Tl 0.0000 0.0000 0.8750
Pt 0.5000 0.5000 0.8750
Tl 0.5000 0.5000 0.3750

Properties
- spin magnetization (μB per cell) = 0.000
- energy relative to the elements, uncorrected (kJ per mole of atoms) = -31.52
- theoretical density (Mg/m³) = 10.5
- relative energy among the computed polymorphs (eV/atom) = 0.000
- space-group type = Pmmm


# 9
DFT (GGA-PBE) results for TbZnAg4 after structural relaxation.

a = 5.5332 Å, b = 5.5332 Å, c = 5.5332 Å
α = 60.00°, β = 60.00°, γ = 60.00°
Element x y z (fractional)
Ag 0.6253 0.6253 0.1241
Ag 0.6253 0.1241 0.6253
Tb 0.2500 0.2500 0.2500
Zn 0.0000 0.0000 0.0000
Ag 0.1241 0.6253 0.6253
Ag 0.6253 0.6253 0.6253

Properties
- spin magnetization (μB per cell) = 0.000
- calculated formation energy (eV/atom) = -0.10
- theoretical density (Mg/m³) = 9.1
- space-group type = F-43m


# 10
DFT (GGA-PBE) results for MgAl2Rh after structural relaxation.

a = 4.2204 Å, b = 5.2164 Å, c = 6.9738 Å
α = 111.96°, β = 107.61°, γ = 90.00°
Element x y z (fractional)
Al 0.0339 0.5339 0.0679
Rh 0.6492 0.6492 0.2983
Al 0.2302 0.4802 0.4603
Al 0.2302 0.9802 0.4603
Mg 0.8784 0.8784 0.7569
Al 0.4264 0.4264 0.8528
Rh 0.8112 0.3112 0.6223
Mg 0.5818 0.0818 0.1636

Properties
- spin magnetization (μB per cell) = 0.000
- calculated formation energy (eV/atom) = -0.55
- theoretical density (Mg/m³) = 4.5
- space-group type = Imma


# 11
DFT (GGA-PBE) results for HoPOs after structural relaxation.

a = 3.8550 Å, b = 3.8550 Å, c = 9.6835 Å
α = 78.52°, β = 78.52°, γ = 60.00°
Element x y z (fractional)
Os 0.3658 0.3658 0.9025
Os 0.6342 0.6342 0.0975
P 0.2786 0.2786 0.1642
Ho 0.1147 0.1147 0.6559
Ho 0.8853 0.8853 0.3441
P 0.7214 0.7214 0.8358

Properties
- spin magnetization (μB per cell) = 0.004
- calculated formation energy (eV/atom) = -0.57
- theoretical density (Mg/m³) = 10.6
- space-group type = R-3m


# 12
DFT (GGA-PBE) results for KLaAs2Pt4 after structural relaxation.

a = 4.0901 Å, b = 4.0901 Å, c = 11.1927 Å
α = 90.00°, β = 90.00°, γ = 90.00°
Element x y z (fractional)
As 0.5000 0.5000 0.6727
As 0.5000 0.5000 0.3273
Pt 0.5000 0.0000 0.2029
K 0.0000 0.0000 0.5000
Pt 0.5000 0.0000 0.7971
Pt 0.0000 0.5000 0.7971
Pt 0.0000 0.5000 0.2029
La 0.0000 0.0000 0.0000

Properties
- spin magnetization (μB per cell) = 0.000
- calculated formation energy (eV/atom) = -0.63
- theoretical density (Mg/m³) = 9.8
- space-group type = P4/mmm